Computed, not measured: a geometry-optimized Ti2VSeF structure at the PBE with a Hubbard U level of DFT.

Values from the calculation:
The crystal system is tetragonal. As for the electronic total energy: -28.37 eV per cell.

abc: 4.7834 4.7834 3.8461
angles: 90.00 90.00 90.00
Space group P4/mmm (No. 123)
Inequivalent atoms, fractional coordinates:
Ti 0.0000 0.5000 0.0000 [2 per cell]
V 0.0000 0.0000 0.0000 [1 per cell]
Se 0.5000 0.5000 0.5000 [1 per cell]
F 0.0000 0.0000 0.5000 [1 per cell]



Computed, not measured: a geometry-optimized TiW2SeF structure at the PBE with a Hubbard U level of DFT.

Values from the calculation:
The crystal system is tetragonal. As for the electronic total energy: -20.96 eV per cell.

abc: 4.8227 4.8227 4.8085
angles: 90.00 90.00 90.00
Space group P4/mmm (No. 123)
Inequivalent atoms, fractional coordinates:
Ti 0.0000 0.0000 0.0000 [1 per cell]
W 0.0000 0.5000 0.5000 [2 per cell]
Se 0.0000 0.0000 0.5000 [1 per cell]
F 0.5000 0.5000 0.0000 [1 per cell]



Number 1: size of the total moment 0.07 μB per cell, D(E_F) 0.926 states/eV/atom. Number 2: size of the total moment 2.39 μB per cell, D(E_F) 0.651 states/eV/atom.